A plane-wave DFT calculation with meta-GGA SCAN was carried out for a PBEsol-optimized structure of ReTcTe2Cl.

## Properties
Energy relative to the elements, uncorrected (eV per atom): 1.22
Magnetization (μB per formula unit): 2.200
Space group: P4/mmm
Total DFT energy (no corrections) (eV/atom): -36.512

a b c (Å): 4.328 5.240 5.240
angles (deg): 90.00 90.00 90.00
Each line ends with the local moment (μB).
Atoms (fractional coordinates):
Re: 0.500 0.500 0.500  3.31
Te: 0.000 0.000 0.500  -0.12
Te: 0.000 0.500 0.000  -0.12
Tc: 0.000 0.000 0.000  -1.56
Cl: 0.500 0.000 0.000  -0.11